(1)
An optimized crystal structure of RbEr2Cl7, computed with GGA-PBE.

Properties
V ... 30.242 Å³/atom
Fermi-level density of states ... 0.00 states/eV/cell
Formation energy without anion corrections ... -2.21 eV per atom

The structure in POSCAR format:
```
RbEr2Cl7
1.0
-5.146 -0.824 -0.676
1.622 -5.651 -5.459
-0.612 -2.434 7.621
Er Cl Rb
2 7 1
direct
0.500 0.696 0.304
0.500 0.304 0.696
0.500 0.329 0.047
0.500 0.953 0.671
0.500 0.047 0.329
0.500 0.671 0.953
0.000 0.297 0.703
0.500 0.500 0.500
0.000 0.703 0.297
0.000 0.000 0.000
```

(2)
An optimized crystal structure of Rb2ErCl5, computed with GGA-PBE.

Properties
V ... 33.243 Å³/atom
Fermi-level density of states ... 0.00 states/eV/cell
Formation energy without anion corrections ... -2.17 eV per atom

The structure in POSCAR format:
```
Rb2ErCl5
1.0
7.388 0.000 0.000
0.000 9.669 0.000
0.000 0.000 14.892
Rb Er Cl
8 4 20
direct
0.750 0.025 0.213
0.750 0.839 0.585
0.750 0.339 0.915
0.250 0.161 0.415
0.750 0.525 0.287
0.250 0.661 0.085
0.250 0.975 0.787
0.250 0.475 0.713
0.750 0.816 0.939
0.250 0.184 0.061
0.750 0.316 0.561
0.250 0.684 0.439
0.006 0.655 0.890
0.006 0.155 0.610
0.994 0.345 0.110
0.250 0.777 0.605
0.000 0.000 0.000
0.506 0.345 0.110
0.494 0.155 0.610
0.500 0.000 0.000
0.994 0.845 0.390
0.250 0.538 0.294
0.750 0.462 0.706
0.506 0.845 0.390
0.494 0.655 0.890
0.750 0.723 0.105
0.750 0.223 0.395
0.750 0.962 0.794
0.500 0.500 0.500
0.250 0.038 0.206
0.000 0.500 0.500
0.250 0.277 0.895
```